Record 1
{
  "formula": "LaMoIr2",
  "functional": "GGA-PBE",
  "state": "optimized geometry",
  "ef_mev_per_atom": 16,
  "m_tot_mub_per_cell": 0.00,
  "vol_a3_per_cell": 72.1,
  "de_polymorph_ev_per_atom": 0.237,
  "cell": [[2.991, -4.037, 0.000], [2.991, 4.037, 0.000], [0.000, 0.000, 2.986]],
  "species": ["La", "Mo", "Ir", "Ir"],
  "frac_coords": [[0.000, 0.000, 0.000], [0.500, 0.500, 0.000], [0.000, 0.500, 0.500], [0.500, 0.000, 0.500]]
}

---

Record 2
{
  "formula": "LaMoIr2",
  "functional": "GGA-PBE",
  "state": "optimized geometry",
  "ef_mev_per_atom": 160,
  "m_tot_mub_per_cell": 2.05,
  "vol_a3_per_cell": 75.2,
  "de_polymorph_ev_per_atom": 0.380,
  "cell": [[4.388, 0.000, 0.000], [0.000, 4.388, 0.000], [0.000, 0.000, 3.905]],
  "species": ["La", "Mo", "Ir", "Ir"],
  "frac_coords": [[0.000, 0.000, 0.000], [0.500, 0.500, 0.000], [0.000, 0.500, 0.500], [0.500, 0.000, 0.500]]
}

---

Record 3
{
  "formula": "La2MoIr",
  "functional": "GGA-PBE",
  "state": "optimized geometry",
  "ef_mev_per_atom": -102,
  "m_tot_mub_per_cell": 0.36,
  "vol_a3_per_cell": 120.8,
  "de_polymorph_ev_per_atom": 0.006,
  "cell": [[2.111, 1.219, 7.828], [-2.111, 1.219, 7.828], [0.000, -2.438, 7.828]],
  "species": ["La", "La", "Mo", "Ir"],
  "frac_coords": [[0.000, 0.000, 0.000], [0.181, 0.181, 0.181], [0.435, 0.435, 0.435], [0.744, 0.744, 0.744]]
}

---

Record 4
{
  "formula": "La2MoIr",
  "functional": "GGA-PBE",
  "state": "optimized geometry",
  "ef_mev_per_atom": 43,
  "m_tot_mub_per_cell": 0.00,
  "vol_a3_per_cell": 97.4,
  "de_polymorph_ev_per_atom": 0.151,
  "cell": [[3.212, 0.000, 0.000], [0.000, 3.212, 0.000], [0.000, 0.000, 9.447]],
  "species": ["La", "La", "Mo", "Ir"],
  "frac_coords": [[0.000, 0.000, 0.000], [0.500, 0.500, 0.373], [0.000, 0.000, 0.618], [0.500, 0.500, 0.758]]
}